! Be3ZnTe (PBE-GGA, optimized geometry); values from VASP
! Total magnetic moment = 0.00 Bohr magnetons per cell
! Energy above the most stable polymorph in this dataset = 526 meV per atom
! Formation energy (no corrections) = 1341 meV per atom
! Theoretical density = 3.440 g cm⁻³
! N(E_F) = 1.95 states/eV/cell
&SYSTEM
  ibrav = 0, nat = 5, ntyp = 3
/
ATOMIC_SPECIES
Be 9.01 Be.upf
Te 127.60 Te.upf
Zn 65.41 Zn.upf
CELL_PARAMETERS angstrom
4.736 0.000 0.000
0.000 4.736 0.000
0.000 0.000 4.736
ATOMIC_POSITIONS crystal
Be 0.000 0.000 0.500
Be 0.000 0.500 0.000
Be 0.500 0.000 0.000
Te 0.000 0.000 0.000
Zn 0.500 0.500 0.500

=====

! BeZn2Te (PBE-GGA, optimized geometry); values from VASP
! Total magnetic moment = 0.00 Bohr magnetons per cell
! Energy above the most stable polymorph in this dataset = 209 meV per atom
! Formation energy (no corrections) = 396 meV per atom
! Theoretical density = 6.059 g cm⁻³
! N(E_F) = 1.32 states/eV/cell
&SYSTEM
  ibrav = 0, nat = 4, ntyp = 3
/
ATOMIC_SPECIES
Zn 65.41 Zn.upf
Be 9.01 Be.upf
Te 127.60 Te.upf
CELL_PARAMETERS angstrom
-2.113 -0.849 -2.971
-2.967 -0.451 2.238
-1.209 5.055 -0.584
ATOMIC_POSITIONS crystal
Zn 0.000 0.000 0.020
Zn 0.000 0.000 0.480
Be 0.500 0.500 0.250
Te 0.500 0.500 0.750

=====

! BeZn2Te (PBE-GGA, optimized geometry); values from VASP
! Total magnetic moment = 0.00 Bohr magnetons per cell
! Energy above the most stable polymorph in this dataset = 87 meV per atom
! Formation energy (no corrections) = 274 meV per atom
! Theoretical density = 5.772 g cm⁻³
! N(E_F) = 1.42 states/eV/cell
&SYSTEM
  ibrav = 0, nat = 4, ntyp = 3
/
ATOMIC_SPECIES
Zn 65.41 Zn.upf
Te 127.60 Te.upf
Be 9.01 Be.upf
CELL_PARAMETERS angstrom
6.364 -0.026 0.032
-4.219 4.765 0.032
1.079 2.384 2.578
ATOMIC_POSITIONS crystal
Zn 0.000 0.000 0.000
Zn 0.500 0.500 0.000
Te 0.000 0.500 0.500
Be 0.500 0.000 0.500

=====

! BeZn2Te (PBE-GGA, optimized geometry); values from VASP
! Total magnetic moment = 0.00 Bohr magnetons per cell
! Energy above the most stable polymorph in this dataset = 0 meV per atom
! Formation energy (no corrections) = 187 meV per atom
! Theoretical density = 5.822 g cm⁻³
! N(E_F) = 1.16 states/eV/cell
&SYSTEM
  ibrav = 0, nat = 4, ntyp = 3
/
ATOMIC_SPECIES
Be 9.01 Be.upf
Te 127.60 Te.upf
Zn 65.41 Zn.upf
CELL_PARAMETERS angstrom
-2.547 -0.834 5.663
-5.316 -1.400 3.005
-2.740 -4.204 3.751
ATOMIC_POSITIONS crystal
Be 0.505 0.505 0.505
Te 0.772 0.772 0.772
Zn 0.980 0.980 0.980
Zn 0.243 0.243 0.243

=====

! Be2ZnTe (PBE-GGA, optimized geometry); values from VASP
! Total magnetic moment = 0.00 Bohr magnetons per cell
! Energy above the most stable polymorph in this dataset = 213 meV per atom
! Formation energy (no corrections) = 429 meV per atom
! Theoretical density = 5.400 g cm⁻³
! N(E_F) = 1.54 states/eV/cell
&SYSTEM
  ibrav = 0, nat = 4, ntyp = 3
/
ATOMIC_SPECIES
Zn 65.41 Zn.upf
Te 127.60 Te.upf
Be 9.01 Be.upf
CELL_PARAMETERS angstrom
5.765 -0.034 -0.021
4.570 3.514 -0.021
4.570 1.539 3.160
ATOMIC_POSITIONS crystal
Zn 0.750 0.750 0.750
Te 0.250 0.250 0.250
Be 0.016 0.016 0.016
Be 0.484 0.484 0.484

=====

! Be2ZnTe (PBE-GGA, optimized geometry); values from VASP
! Total magnetic moment = 0.00 Bohr magnetons per cell
! Energy above the most stable polymorph in this dataset = 0 meV per atom
! Formation energy (no corrections) = 216 meV per atom
! Theoretical density = 5.101 g cm⁻³
! N(E_F) = 1.50 states/eV/cell
&SYSTEM
  ibrav = 0, nat = 4, ntyp = 3
/
ATOMIC_SPECIES
Be 9.01 Be.upf
Te 127.60 Te.upf
Zn 65.41 Zn.upf
CELL_PARAMETERS angstrom
-3.436 2.201 0.557
-2.527 -0.376 3.230
2.399 3.480 2.539
ATOMIC_POSITIONS crystal
Be 0.002 0.002 0.116
Be 0.347 0.347 0.985
Te 0.466 0.466 0.464
Zn 0.685 0.685 0.935

=====

! BeZn3Te (PBE-GGA, optimized geometry); values from VASP
! Total magnetic moment = 0.00 Bohr magnetons per cell
! Energy above the most stable polymorph in this dataset = 720 meV per atom
! Formation energy (no corrections) = 1059 meV per atom
! Theoretical density = 3.613 g cm⁻³
! N(E_F) = 2.66 states/eV/cell
&SYSTEM
  ibrav = 0, nat = 5, ntyp = 3
/
ATOMIC_SPECIES
Zn 65.41 Zn.upf
Te 127.60 Te.upf
Be 9.01 Be.upf
CELL_PARAMETERS angstrom
-1.868 -0.024 5.011
-4.691 -1.874 -1.758
1.763 -5.009 0.633
ATOMIC_POSITIONS crystal
Zn 0.000 0.500 0.000
Zn 0.500 0.000 0.000
Zn 0.000 0.000 0.500
Te 0.000 0.000 0.000
Be 0.500 0.500 0.500

=====

! BeZn2Te (PBE-GGA, optimized geometry); values from VASP
! Total magnetic moment = 0.00 Bohr magnetons per cell
! Energy above the most stable polymorph in this dataset = 199 meV per atom
! Formation energy (no corrections) = 387 meV per atom
! Theoretical density = 6.053 g cm⁻³
! N(E_F) = 2.18 states/eV/cell
&SYSTEM
  ibrav = 0, nat = 4, ntyp = 3
/
ATOMIC_SPECIES
Zn 65.41 Zn.upf
Te 127.60 Te.upf
Be 9.01 Be.upf
CELL_PARAMETERS angstrom
8.070 0.012 0.007
7.396 3.228 0.007
7.396 1.549 2.832
ATOMIC_POSITIONS crystal
Zn 0.983 0.983 0.983
Zn 0.517 0.517 0.517
Te 0.750 0.750 0.750
Be 0.250 0.250 0.250

=====

! Be3ZnTe (PBE-GGA, optimized geometry); values from VASP
! Total magnetic moment = 0.00 Bohr magnetons per cell
! Energy above the most stable polymorph in this dataset = 0 meV per atom
! Formation energy (no corrections) = 815 meV per atom
! Theoretical density = 4.537 g cm⁻³
! N(E_F) = 1.78 states/eV/cell
&SYSTEM
  ibrav = 0, nat = 5, ntyp = 3
/
ATOMIC_SPECIES
Te 127.60 Te.upf
Zn 65.41 Zn.upf
Be 9.01 Be.upf
CELL_PARAMETERS angstrom
-0.744 -4.151 0.929
3.088 0.122 3.017
-2.926 1.184 2.947
ATOMIC_POSITIONS crystal
Te 0.500 0.500 0.500
Zn 0.000 0.000 0.000
Be 0.000 0.000 0.500
Be 0.000 0.500 0.000
Be 0.500 0.000 0.000

=====

! Be2ZnTe (PBE-GGA, optimized geometry); values from VASP
! Total magnetic moment = 0.00 Bohr magnetons per cell
! Energy above the most stable polymorph in this dataset = 278 meV per atom
! Formation energy (no corrections) = 493 meV per atom
! Theoretical density = 4.907 g cm⁻³
! N(E_F) = 1.10 states/eV/cell
&SYSTEM
  ibrav = 0, nat = 4, ntyp = 3
/
ATOMIC_SPECIES
Be 9.01 Be.upf
Zn 65.41 Zn.upf
Te 127.60 Te.upf
CELL_PARAMETERS angstrom
3.389 0.000 0.000
0.000 3.389 0.000
0.000 0.000 6.218
ATOMIC_POSITIONS crystal
Be 0.500 0.500 0.244
Be 0.000 0.000 0.993
Zn 0.500 0.500 0.873
Te 0.000 0.000 0.390

=====

! BeZn2Te (PBE-GGA, optimized geometry); values from VASP
! Total magnetic moment = 0.00 Bohr magnetons per cell
! Energy above the most stable polymorph in this dataset = 136 meV per atom
! Formation energy (no corrections) = 323 meV per atom
! Theoretical density = 5.969 g cm⁻³
! N(E_F) = 0.89 states/eV/cell
&SYSTEM
  ibrav = 0, nat = 4, ntyp = 3
/
ATOMIC_SPECIES
Be 9.01 Be.upf
Te 127.60 Te.upf
Zn 65.41 Zn.upf
CELL_PARAMETERS angstrom
2.938 0.000 0.000
0.000 2.938 0.000
0.000 0.000 8.616
ATOMIC_POSITIONS crystal
Be 0.500 0.500 0.250
Te 0.500 0.500 0.750
Zn 0.000 0.000 0.411
Zn 0.000 0.000 0.089

=====

! BeZnTe3 (PBE-GGA, optimized geometry); values from VASP
! Total magnetic moment = 0.00 Bohr magnetons per cell
! Energy above the most stable polymorph in this dataset = 0 meV per atom
! Formation energy (no corrections) = 455 meV per atom
! Theoretical density = 6.012 g cm⁻³
! N(E_F) = 4.94 states/eV/cell
&SYSTEM
  ibrav = 0, nat = 5, ntyp = 3
/
ATOMIC_SPECIES
Zn 65.41 Zn.upf
Be 9.01 Be.upf
Te 127.60 Te.upf
CELL_PARAMETERS angstrom
5.017 0.000 0.000
0.000 5.017 0.000
0.000 0.000 5.017
ATOMIC_POSITIONS crystal
Zn 0.500 0.500 0.500
Be 0.000 0.000 0.000
Te 0.500 0.000 0.000
Te 0.000 0.000 0.500
Te 0.000 0.500 0.000